# 1
A relaxed structure of KCa2Ag. Source: Alexandria via LeMat-Bulk, functional GGA-PBE. Values from VASP.

```
&SYSTEM
  ibrav = 0, nat = 4, ntyp = 3
/
ATOMIC_SPECIES
K 39.10 K.upf
Ca 40.08 Ca.upf
Ag 107.87 Ag.upf
ATOMIC_POSITIONS angstrom
K 0.000 0.000 0.000
Ca 1.882 1.901 3.530
Ca 1.880 1.901 7.068
Ag -0.021 0.000 5.299
CELL_PARAMETERS angstrom
3.804 0.000 0.000
0.000 3.801 0.000
-0.042 0.000 10.598
```



# 2
A relaxed structure of YThNi. Source: Alexandria via LeMat-Bulk, functional GGA-PBE. Values from VASP.

```
&SYSTEM
  ibrav = 0, nat = 6, ntyp = 3
/
ATOMIC_SPECIES
Y 88.91 Y.upf
Th 232.04 Th.upf
Ni 58.69 Ni.upf
ATOMIC_POSITIONS angstrom
Y -0.010 1.162 1.628
Y 3.837 3.487 4.417
Th 1.141 1.162 4.926
Th 2.686 3.487 1.118
Ni 1.120 3.487 3.314
Ni 2.707 1.162 2.730
CELL_PARAMETERS angstrom
5.382 0.000 0.000
0.000 4.649 0.000
-1.555 0.000 6.044
```



# 3
A relaxed structure of ZnTcRh6. Source: Alexandria via LeMat-Bulk, functional GGA-PBE. Values from VASP.

```
&SYSTEM
  ibrav = 0, nat = 8, ntyp = 3
/
ATOMIC_SPECIES
Zn 65.41 Zn.upf
Tc 98.00 Tc.upf
Rh 102.91 Rh.upf
ATOMIC_POSITIONS angstrom
Zn 0.000 0.000 0.000
Tc 0.000 0.000 3.853
Rh 0.000 1.917 1.963
Rh 0.000 1.917 5.742
Rh 1.917 0.000 1.963
Rh 1.917 0.000 5.742
Rh 1.917 1.917 0.000
Rh 1.917 1.917 3.853
CELL_PARAMETERS angstrom
3.834 0.000 0.000
0.000 3.834 0.000
0.000 0.000 7.705
```



# 4
A relaxed structure of KIn2Ag. Source: Alexandria via LeMat-Bulk, functional GGA-PBE. Values from VASP.

```
&SYSTEM
  ibrav = 0, nat = 4, ntyp = 3
/
ATOMIC_SPECIES
K 39.10 K.upf
In 114.82 In.upf
Ag 107.87 Ag.upf
ATOMIC_POSITIONS angstrom
K 0.000 0.000 0.000
In 1.710 1.877 2.694
In 1.710 1.877 5.972
Ag 0.000 0.000 4.333
CELL_PARAMETERS angstrom
3.421 0.000 0.000
0.000 3.753 0.000
0.000 0.000 8.666
```



# 5
A relaxed structure of Pm4Y2Ho5. Source: Alexandria via LeMat-Bulk, functional GGA-PBE. Values from VASP.

```
&SYSTEM
  ibrav = 0, nat = 11, ntyp = 3
/
ATOMIC_SPECIES
Pm 145.00 Pm.upf
Y 88.91 Y.upf
Ho 164.93 Ho.upf
ATOMIC_POSITIONS angstrom
Pm 0.343 0.000 1.891
Pm 5.725 0.000 6.124
Pm 13.347 0.000 0.480
Pm 18.729 0.000 4.712
Y 7.654 0.000 2.954
Y 11.417 0.000 3.649
Ho 2.373 0.000 5.901
Ho 3.947 0.000 2.655
Ho 9.606 0.000 0.000
Ho 15.124 0.000 3.948
Ho 16.699 0.000 0.703
CELL_PARAMETERS angstrom
9.606 -2.830 0.000
9.606 2.830 0.000
-0.141 0.000 6.603
```



# 6
A relaxed structure of Y2GaCo2. Source: Alexandria via LeMat-Bulk, functional GGA-PBE. Values from VASP.

```
&SYSTEM
  ibrav = 0, nat = 10, ntyp = 3
/
ATOMIC_SPECIES
Y 88.91 Y.upf
Ga 69.72 Ga.upf
Co 58.93 Co.upf
ATOMIC_POSITIONS angstrom
Y 1.735 1.883 6.280
Y 4.857 1.883 4.744
Y 2.663 -1.883 2.606
Y 5.785 -1.883 1.069
Ga 4.224 0.704 1.837
Ga 3.296 -0.704 5.512
Co 2.421 0.798 3.633
Co 6.026 0.798 0.042
Co 1.494 -0.798 7.308
Co 5.098 -0.798 3.717
CELL_PARAMETERS angstrom
4.688 -2.689 0.000
4.688 2.689 0.000
-1.855 0.000 7.350
```



no.,energy (eV for the cell shown),size of the total moment (μB per formula unit),formation energy from the elements (kJ/mol of formula units)
1,-8.29,0.0,-33
2,-40.72,0.0,-67
3,-56.87,0.0,-108
4,-9.66,0.0,-22
5,-53.71,0.0,107
6,-64.39,0.5,-196